(1)
Nd6Cu2Ag (PBE, optimized geometry); DFT formation energy = -105.0 meV per atom; symmetry = Immm (71); M_tot = 0.000 μB per atom; crystal system = orthorhombic
1.0
-4.938 4.993 5.172
4.938 -4.993 5.172
4.938 4.993 -5.172
Nd Cu Ag
12 4 2
Direct
0.058 0.248 0.811
0.178 0.274 0.452
0.178 0.726 0.904
0.323 0.019 0.695
0.323 0.628 0.305
0.437 0.248 0.189
0.563 0.752 0.811
0.677 0.372 0.695
0.677 0.981 0.305
0.822 0.274 0.096
0.822 0.726 0.548
0.942 0.752 0.189
0.118 0.618 0.500
0.354 0.000 0.354
0.646 0.000 0.646
0.882 0.382 0.500
0.000 0.000 0.000
0.500 0.500 0.000



(2)
Nd3CuAg (PBE, optimized geometry); DFT formation energy = 30.6 meV per atom; symmetry = P1 (1); M_tot = 0.000 μB per atom; crystal system = triclinic
1.0
3.934 0.000 0.000
0.000 9.141 0.000
0.000 -3.931 8.254
Nd Cu Ag
6 2 2
Direct
0.000 0.000 0.000
0.000 0.153 0.613
0.501 0.419 0.964
0.501 0.734 0.649
0.996 0.383 0.383
0.996 0.770 0.230
0.494 0.576 0.306
0.500 0.077 0.807
0.001 0.577 0.807
0.498 0.076 0.307



(3)
Nd2Cu2Ag (PBE, optimized geometry); DFT formation energy = -232.0 meV per atom; symmetry = Cmmm (65); M_tot = 0.000 μB per atom; crystal system = orthorhombic
1.0
2.049 -7.193 0.000
2.049 7.193 0.000
0.000 0.000 3.820
Nd Cu Ag
2 2 1
Direct
0.127 0.873 0.000
0.873 0.127 0.000
0.298 0.702 0.500
0.702 0.298 0.500
0.500 0.500 0.500



(4)
NdCu5Ag (PBE, optimized geometry); DFT formation energy = -156.6 meV per atom; symmetry = Pnma (62); M_tot = 0.000 μB per atom; crystal system = orthorhombic
1.0
8.285 0.000 0.000
0.000 5.108 0.000
0.000 0.000 10.427
Nd Cu Ag
4 20 4
Direct
0.242 0.250 0.064
0.258 0.750 0.564
0.742 0.250 0.436
0.758 0.750 0.936
0.056 0.750 0.108
0.068 0.001 0.314
0.068 0.499 0.314
0.088 0.250 0.517
0.184 0.250 0.746
0.316 0.750 0.246
0.412 0.750 0.017
0.432 0.501 0.814
0.432 0.999 0.814
0.444 0.250 0.608
0.556 0.750 0.392
0.568 0.001 0.186
0.568 0.499 0.186
0.588 0.250 0.983
0.684 0.250 0.754
0.816 0.750 0.254
0.912 0.750 0.483
0.932 0.501 0.686
0.932 0.999 0.686
0.944 0.250 0.892
0.139 0.750 0.862
0.361 0.250 0.362
0.639 0.750 0.638
0.861 0.250 0.138



(5)
NdCu10Ag (PBE, optimized geometry); DFT formation energy = -25.5 meV per atom; symmetry = Pmmm (47); M_tot = 0.000 μB per atom; crystal system = orthorhombic
1.0
4.109 0.000 0.000
0.000 4.976 0.000
0.000 0.000 8.639
Nd Cu Ag
1 10 1
Direct
0.000 0.000 0.000
0.000 0.000 0.346
0.000 0.000 0.654
0.000 0.500 0.187
0.000 0.500 0.813
0.500 0.000 0.500
0.500 0.249 0.253
0.500 0.249 0.747
0.500 0.500 0.000
0.500 0.751 0.253
0.500 0.751 0.747
0.000 0.500 0.500



(6)
Nd2Cu5Ag5 (PBE, optimized geometry); DFT formation energy = -84.4 meV per atom; symmetry = Pmmm (47); M_tot = 0.000 μB per atom; crystal system = orthorhombic
1.0
4.474 0.000 0.000
0.000 5.272 0.000
0.000 0.000 9.447
Nd Cu Ag
2 5 5
Direct
0.000 0.000 0.000
0.000 0.500 0.500
0.500 0.000 0.500
0.500 0.250 0.262
0.500 0.250 0.738
0.500 0.750 0.262
0.500 0.750 0.738
0.000 0.000 0.333
0.000 0.000 0.667
0.000 0.500 0.178
0.000 0.500 0.822
0.500 0.500 0.000